Entry from Alexandria: a geometry-optimized KBaCr2 structure (GGA-PBEsol).

Results
As for the density of states at the Fermi level: 0.66 states/eV per atom. The value obtained for the energy above the most stable polymorph in this dataset is 0 meV/atom. Its energy of formation from the pure elements is 1.28 eV per atom.

Unit cell a=4.0740 b=5.8209 c=5.8209 alpha=90.00 beta=90.00 gamma=90.00
Each line ends with the local moment (μB).
Sites, in units of the cell vectors:
Cr1 0.0000 0.5000 0.0000  4.12
Cr2 0.0000 0.0000 0.5000  4.12
Ba1 0.5000 0.5000 0.5000  0.07
K1 0.5000 0.0000 0.0000  0.03